# Sr3GeSb3 PBE optimized geometry
data_Sr3GeSb3
_space_group_name_H-M_alt 'C m c e'
_space_group_IT_number 64
_space_group_name_Hall '-C 2ac 2'
_cell_length_a 20.629
_cell_length_b 6.980
_cell_length_c 13.689
_cell_angle_alpha 90.00
_cell_angle_beta 90.00
_cell_angle_gamma 90.00
loop_
_atom_site_label
_atom_site_type_symbol
_atom_site_fract_x
_atom_site_fract_y
_atom_site_fract_z
Sr1 Sr 0.000 0.200 0.139
Sr2 Sr 0.173 0.194 0.871
Ge1 Ge 0.086 0.000 0.500
Sb1 Sb 0.000 0.222 0.383
Sb2 Sb 0.163 0.209 0.624
# - magnetization (μB/cell) = 0.00
# - formation energy from raw total energies (eV per atom) = -0.762


# NaC3Br PBE optimized geometry
data_NaC3Br
_space_group_name_H-M_alt 'P m -3 m'
_space_group_IT_number 221
_space_group_name_Hall '-P 4 2 3'
_cell_length_a 4.674
_cell_length_b 4.674
_cell_length_c 4.674
_cell_angle_alpha 90.00
_cell_angle_beta 90.00
_cell_angle_gamma 90.00
loop_
_atom_site_label
_atom_site_type_symbol
_atom_site_fract_x
_atom_site_fract_y
_atom_site_fract_z
Na1 Na 0.000 0.000 0.000
C1 C 0.000 0.000 0.500
Br1 Br 0.500 0.500 0.500
# - magnetization (μB/cell) = 4.46
# - polymorph energy (0 for the lowest one) (eV per atom) = 0.633
# - formation energy from raw total energies (eV per atom) = 3.912


# LaTm3Ag2 PBE optimized geometry
data_LaTm3Ag2
_space_group_name_H-M_alt 'P 4/m m m'
_space_group_IT_number 123
_space_group_name_Hall '-P 4 2'
_cell_length_a 3.599
_cell_length_b 3.599
_cell_length_c 12.373
_cell_angle_alpha 90.00
_cell_angle_beta 90.00
_cell_angle_gamma 90.00
loop_
_atom_site_label
_atom_site_type_symbol
_atom_site_fract_x
_atom_site_fract_y
_atom_site_fract_z
La1 La 0.000 0.000 0.000
Tm1 Tm 0.500 0.500 0.213
Tm2 Tm 0.500 0.500 0.500
Ag1 Ag 0.000 0.000 0.353
# - magnetization (μB/cell) = 0.00
# - DFT formation energy (eV per atom) = -0.21


# Zr2TcSe PBE optimized geometry
data_Zr2TcSe
_space_group_name_H-M_alt 'I -4 2 d'
_space_group_IT_number 122
_space_group_name_Hall 'I -4 2bw'
_cell_length_a 5.985
_cell_length_b 5.985
_cell_length_c 12.206
_cell_angle_alpha 90.00
_cell_angle_beta 90.00
_cell_angle_gamma 90.00
loop_
_atom_site_label
_atom_site_type_symbol
_atom_site_fract_x
_atom_site_fract_y
_atom_site_fract_z
Zr1 Zr 0.223 0.250 0.125
Tc1 Tc 0.000 0.000 0.000
Se1 Se 0.000 0.000 0.500
# - magnetization (μB/cell) = 0.00
# - formation energy from raw total energies (eV per atom) = 0.229


# ZnTc2Ir2 PBE optimized geometry
data_ZnTc2Ir2
_space_group_name_H-M_alt 'P 4/m b m'
_space_group_IT_number 127
_space_group_name_Hall '-P 4 2ab'
_cell_length_a 7.585
_cell_length_b 7.585
_cell_length_c 2.731
_cell_angle_alpha 90.00
_cell_angle_beta 90.00
_cell_angle_gamma 90.00
loop_
_atom_site_label
_atom_site_type_symbol
_atom_site_fract_x
_atom_site_fract_y
_atom_site_fract_z
Zn1 Zn 0.000 0.000 0.000
Tc1 Tc 0.172 0.328 0.500
Ir1 Ir 0.123 0.623 0.000
# - magnetization (μB/cell) = 0.00
# - polymorph energy (0 for the lowest one) (eV per atom) = 0.000
# - DFT formation energy (eV per atom) = 0.12


# TmCo4Sn12 PBE optimized geometry
data_TmCo4Sn12
_space_group_name_H-M_alt 'I m -3'
_space_group_IT_number 204
_space_group_name_Hall '-I 2 2 3'
_cell_length_a 9.208
_cell_length_b 9.208
_cell_length_c 9.208
_cell_angle_alpha 90.00
_cell_angle_beta 90.00
_cell_angle_gamma 90.00
loop_
_atom_site_label
_atom_site_type_symbol
_atom_site_fract_x
_atom_site_fract_y
_atom_site_fract_z
Tm1 Tm 0.000 0.000 0.000
Co1 Co 0.250 0.250 0.250
Sn1 Sn 0.000 0.327 0.168
# - magnetization (μB/cell) = 0.00
# - DFT formation energy (eV per atom) = -0.07